# CuGeP

CuGeP after structural relaxation (PBE-GGA, the Alexandria database).

**DFT total energy**: -13.478 eV/cell
**Polymorph energy (0 for the lowest one)**: 107 meV per atom
**Space group**: Cm (8)
**ΔE_f**: 0.215 eV per atom

Structure (POSCAR):
```
CuGeP
1.0
5.533 -1.671 0.000
5.533 1.671 0.000
-0.562 0.000 2.527
Cu Ge P
1 1 1
Direct
0.000 0.000 0.000 Cu
0.344 0.344 0.340 Ge
0.656 0.656 0.162 P
```